[1]
Computed, not measured: a relaxed structure of OsAu2SF at the GGA-PBE level of DFT.

Raw formation energy ... 0.541 eV per atom
Crystal system ... tetragonal

```
5
Lattice="5.171 0.000 0.000 0.000 5.171 0.000 0.000 0.000 4.275" Properties=species:S:1:pos:R:3 pbc="T T T"
Os 0.000 0.000 0.000
Au 0.000 2.585 0.000
Au 2.585 0.000 0.000
S 0.000 0.000 2.137
F 2.585 2.585 2.137
```

[2]
Computed, not measured: a relaxed structure of TbNd4Hg at the GGA-PBE level of DFT.

Energy relative to the elements ... -85 kJ/mol of formula units
Crystal system ... tetragonal
Energy relative to the lowest polymorph listed for this composition ... 0 meV/atom

```
6
Lattice="3.697 0.000 0.000 0.000 3.697 0.000 0.000 0.000 14.226" Properties=species:S:1:pos:R:3 pbc="T T T"
Tb 0.000 0.000 0.000
Nd 0.000 0.000 5.067
Nd 0.000 0.000 9.160
Nd 1.849 1.849 2.502
Nd 1.849 1.849 11.724
Hg 1.849 1.849 7.113
```